Material: Nd7Zn2Cu2
Method: DFT, PBE-GGA
State: relaxed

Results
Its density is 6.59 g/cm3. The space group is Cmmm.

Cell: 6.801 7.374 6.801 Å, 90.00 110.59 90.00°
Atoms (fractional coordinates):
Nd (0.000, 0.000, 0.000)
Nd (0.500, 0.272, 0.000)
Nd (0.500, 0.256, 0.500)
Nd (0.500, 0.728, 0.000)
Zn (0.163, 0.500, 0.163)
Cu (0.706, 0.000, 0.294)
Nd (0.000, 0.728, 0.500)
Nd (0.500, 0.744, 0.500)
Cu (0.294, 0.000, 0.706)
Zn (0.837, 0.500, 0.837)
Nd (0.000, 0.272, 0.500)

Material: Nd4ZnCu
Method: DFT, PBE-GGA
State: relaxed

Results
For the relative energy among the computed polymorphs, the calculation gives 0.210 eV per atom. Its density is 6.44 g/cm3. The space group is P4/mmm.

Cell: 5.023 5.026 7.208 Å, 89.98 89.98 90.00°
Atoms (fractional coordinates):
Zn (0.501, 0.498, 0.998)
Cu (0.001, 0.997, 0.498)
Nd (0.001, 0.497, 0.255)
Nd (0.001, 0.498, 0.742)
Nd (0.501, 0.997, 0.255)
Nd (0.501, 0.998, 0.742)

Material: Nd3Zn8Cu3
Method: DFT, PBE-GGA
State: relaxed

Results
Its density is 7.42 g/cm3. The space group is Immm.

Cell: 4.439 8.193 8.193 Å, 65.50 74.28 74.28°
Atoms (fractional coordinates):
Zn (0.841, 0.515, 0.803)
Zn (0.627, 0.083, 0.663)
Cu (0.000, 0.185, 0.815)
Cu (0.000, 0.815, 0.185)
Zn (0.373, 0.337, 0.917)
Nd (0.799, 0.201, 0.201)
Nd (0.201, 0.799, 0.799)
Zn (0.159, 0.485, 0.197)
Zn (0.373, 0.917, 0.337)
Nd (0.500, 0.500, 0.500)
Cu (0.500, 0.000, 0.000)
Zn (0.159, 0.197, 0.485)
Zn (0.841, 0.803, 0.515)
Zn (0.627, 0.663, 0.083)

Record order is preserved below.
DOS at the Fermi energy: 1.246 1.921 0.551 states/eV/atom
Record order is preserved below.
Total magnetic moment: 0.0 0.0 0.0 μB per cell
Record order is preserved below.
Calculated formation energy: 0.0331 0.0774 -0.2750 eV per atom